(1)
Ag2OsRh, optimized geometry, DFT GGA-PBE; symmetry = No. 25; energy = -5.70 eV per atom; magnetization = 0.00 μB/atom
1.0
2.7729 0.0000 0.0000
0.0000 3.8307 0.0000
0.0000 0.0000 6.0768
Rh Ag Os
1 2 1
Direct
0.5000 0.5000 0.2865
0.5000 0.5000 0.7486
0.0000 0.0000 0.0007
0.0000 0.0000 0.4643

(2)
K2NiBi2, optimized geometry, DFT GGA-PBE; symmetry = No. 127; energy = -3.25 eV per atom; magnetization = 0.00 μB/atom
1.0
7.1788 0.0000 0.0000
0.0000 7.1788 0.0000
0.0000 0.0000 6.0041
Ni K Bi
2 4 4
Direct
0.0000 0.0000 0.0000
0.5000 0.5000 0.0000
0.1680 0.6680 0.5000
0.8320 0.3320 0.5000
0.3320 0.1680 0.5000
0.6680 0.8320 0.5000
0.8439 0.6561 0.0000
0.6561 0.1561 0.0000
0.1561 0.3439 0.0000
0.3439 0.8439 0.0000

(3)
Ac4SnBi2Te, optimized geometry, DFT GGA-PBE; symmetry = No. 10; raw formation energy = -1.07 eV/atom; magnetization = 0.00 μB/atom
1.0
4.8363 0.0000 0.0000
0.0000 8.3749 0.1481
0.0000 -2.9243 7.8679
Bi Ac Te Sn
2 4 1 1
Direct
0.5000 0.0000 0.5000
0.0000 0.5000 0.5000
0.5000 0.7428 0.7503
0.0000 0.2561 0.7542
0.0000 0.7439 0.2458
0.5000 0.2572 0.2497
0.0000 0.0000 0.0000
0.5000 0.5000 0.0000

(4)
NdPaIn, optimized geometry, DFT GGA-PBE; symmetry = No. 107; energy = -5.54 eV per atom; magnetization = 0.12 μB/atom
1.0
4.1057 0.0000 0.0000
0.0000 4.1057 0.0000
-2.0528 -2.0528 4.9775
Nd In Pa
1 1 1
Direct
0.9407 0.9407 0.8815
0.2827 0.2827 0.5654
0.6266 0.6266 0.2532

(5)
MgGaSbI2, optimized geometry, DFT GGA-PBE; symmetry = No. 123; raw formation energy = -0.01 eV/atom; magnetization = 0.28 μB/atom
1.0
-2.7166 -4.3868 -2.6842
1.2454 -3.5064 4.4703
-4.7941 1.4538 2.4760
Sb I Ga Mg
1 2 1 1
Direct
0.0000 0.0000 0.5000
0.5000 0.0000 0.0000
0.0000 0.5000 0.0000
0.5000 0.5000 0.5000
0.0000 0.0000 0.0000

(6)
KGaGe, optimized geometry, DFT GGA-PBE; symmetry = No. 12; energy = -3.05 eV per atom; magnetization = 0.00 μB/atom
1.0
-12.9945 -6.2184 -3.8298
-2.8064 -4.3721 -3.3852
4.3276 0.5653 4.4049
Ga Ge K
2 2 2
Direct
0.0568 0.5408 0.4592
0.9432 0.4592 0.5408
0.1642 0.0290 0.9710
0.8358 0.9710 0.0290
0.3281 0.5564 0.4436
0.6719 0.4436 0.5564

(7)
TlPd2N2, optimized geometry, DFT GGA-PBE; symmetry = No. 139; raw formation energy = 0.47 eV/atom; magnetization = 0.00 μB/atom
1.0
-0.4206 3.1231 -2.9379
-3.9775 0.8184 1.4394
-0.6274 4.7703 2.0018
Pd N Tl
2 2 1
Direct
0.7500 0.2500 0.5000
0.2500 0.7500 0.5000
0.4310 0.4310 0.1380
0.5690 0.5690 0.8620
0.0000 0.0000 0.0000

(8)
LaIn2SnW, optimized geometry, DFT GGA-PBE; symmetry = No. 123; energy = -4.11 eV per atom; magnetization = 0.84 μB/atom
1.0
5.4403 0.0000 0.0000
0.0000 6.0343 0.0000
0.0000 0.0000 5.4403
Sn In La W
1 2 1 1
Direct
0.0000 0.0000 0.0000
0.5000 0.0000 0.0000
0.0000 0.0000 0.5000
0.0000 0.5000 0.0000
0.5000 0.5000 0.5000

(9)
ZnAg3Te, optimized geometry, DFT GGA-PBE; symmetry = No. 221; raw formation energy = 0.50 eV/atom; magnetization = 0.00 μB/atom
1.0
5.3995 0.0000 0.0000
0.0000 5.3995 0.0000
0.0000 0.0000 5.3995
Ag Te Zn
3 1 1
Direct
0.5000 0.0000 0.0000
0.0000 0.0000 0.5000
0.0000 0.5000 0.0000
0.0000 0.0000 0.0000
0.5000 0.5000 0.5000

(10)
Er4Cd9Pb11, optimized geometry, DFT GGA-PBE; symmetry = No. 65; energy = -2.87 eV per atom; magnetization = 0.00 μB/atom
1.0
-1.4367 -3.2371 0.7196
9.4026 -1.8087 10.6350
-12.1937 6.3090 4.0365
Cd Pb Er
9 11 4
Direct
0.5000 0.1668 0.6373
0.5000 0.7915 0.9324
0.5000 0.6373 0.1668
0.5000 0.9324 0.7915
0.5000 0.2085 0.0676
0.5000 0.0676 0.2085
0.5000 0.8332 0.3627
0.5000 0.3627 0.8332
0.5000 0.5000 0.5000
0.0000 0.1564 0.8436
0.0000 0.3721 0.6279
0.0000 0.3978 0.0304
0.0000 0.0304 0.3978
0.0000 0.6939 0.6939
0.0000 0.6279 0.3721
0.0000 0.6022 0.9696
0.0000 0.3061 0.3061
0.0000 0.9696 0.6022
0.0000 0.8436 0.1564
0.0000 0.0000 0.0000
0.5000 0.4425 0.2339
0.5000 0.7661 0.5575
0.5000 0.5575 0.7661
0.5000 0.2339 0.4425

(11)
In2RuBr, optimized geometry, DFT GGA-PBE; symmetry = No. 99; raw formation energy = 0.30 eV/atom; magnetization = 0.33 μB/atom
1.0
-0.0131 -2.4762 2.1844
-0.9657 -2.0860 -2.3705
8.0122 -1.6449 -1.8164
In Br Ru
2 1 1
Direct
0.0000 0.0000 0.0149
0.5000 0.5000 0.3051
0.5000 0.5000 0.6923
0.0000 0.0000 0.4876

(12)
Tb6Pm2Th, optimized geometry, DFT GGA-PBE; symmetry = No. 187; energy = -4.90 eV per atom; magnetization = 0.00 μB/atom
1.0
-2.5661 2.3467 -0.8892
-0.6767 -2.5711 2.4112
8.0428 16.1924 19.5232
Tb Pm Th
6 2 1
Direct
0.3333 0.6667 0.5634
0.3333 0.6667 0.2167
0.3333 0.6667 0.7833
0.6667 0.3333 0.1094
0.3333 0.6667 0.4366
0.6667 0.3333 0.8906
0.6667 0.3333 0.6705
0.6667 0.3333 0.3295
0.3333 0.6667 0.0000

What is the magnetization in the eleventh record?
0.33 μB/atom

Which formula does entry 3 have?
Ac4SnBi2Te